DFT (PBE) results for an optimized crystal structure of La6Bi3Te2I.

Cell lengths 4.666, 9.267, 10.382 Å; angles 102.17, 102.99, 90.00 degrees
Element x y z (fractional)
La1 0.328 0.912 0.656
La2 0.668 0.584 0.336
La3 0.672 0.088 0.344
La4 0.002 0.260 0.004
La5 0.998 0.740 0.996
La6 0.332 0.416 0.664
Bi1 0.500 0.500 0.000
Bi2 0.837 0.166 0.673
Bi3 0.163 0.834 0.327
Te1 0.833 0.667 0.666
Te2 0.167 0.333 0.334
I1 0.500 0.000 0.000

- theoretical density (g cm⁻³) = 7.2
- SG = C2/m
- total magnetization (μB/f.u.) = 0.000
- energy (eV/atom) = -5.33
- crystal system = monoclinic

=====

DFT (PBE) results for an optimized crystal structure of Er2ZrRu.

Cell lengths 3.266, 3.266, 10.628 Å; angles 81.16, 81.16, 60.00 degrees
Element x y z (fractional)
Ru1 0.500 0.500 0.500
Zr1 0.000 0.000 0.000
Er1 0.101 0.101 0.696
Er2 0.899 0.899 0.304

- formation energy from the elements (eV/atom) = 0.1947
- theoretical density (g cm⁻³) = 9.1
- SG = R-3m
- total magnetization (μB/f.u.) = 0.000
- crystal system = trigonal

=====

DFT (PBE) results for an optimized crystal structure of PmCuPd6.

Cell lengths 5.481, 5.481, 7.220 Å; angles 67.69, 67.69, 60.00 degrees
Element x y z (fractional)
Pm1 0.500 0.500 0.500
Cu1 0.000 0.000 0.000
Pd1 0.928 0.928 0.706
Pd2 0.437 0.928 0.706
Pd3 0.072 0.563 0.294
Pd4 0.563 0.072 0.294
Pd5 0.072 0.072 0.294
Pd6 0.928 0.437 0.706

- formation energy from the elements (eV/atom) = -0.0121
- theoretical density (g cm⁻³) = 8.3
- SG = R-3m
- total magnetization (μB/f.u.) = 0.000
- crystal system = trigonal

=====

no.,calculated volume (Å³/cell)
1,427
2,97
3,169